No. 1
# Na3SbCl6, relaxed, DFT PBE
data_Na3SbCl6
_symmetry_space_group_name_H-M 'P 1 21/c 1'
_symmetry_Int_Tables_number 14
_cell_length_a 6.949
_cell_length_b 7.351
_cell_length_c 12.369
_cell_angle_alpha 90.00
_cell_angle_beta 123.14
_cell_angle_gamma 90.00
loop_
_symmetry_equiv_pos_as_xyz
'x,y,z'
'-x,-y,-z'
'-x,y+1/2,-z+1/2'
'x,-y+1/2,z+1/2'
loop_
_atom_site_label
_atom_site_type_symbol
_atom_site_fract_x
_atom_site_fract_y
_atom_site_fract_z
Na1 Na 0.000 0.000 0.000
Na2 Na 0.207 0.075 0.731
Sb1 Sb 0.500 0.000 0.500
Cl1 Cl 0.123 0.181 0.440
Cl2 Cl 0.238 0.699 0.412
Cl3 Cl 0.406 0.074 0.262
# ΔE to the lowest computed polymorph: 0.0 meV/atom
# V: 26.5 A^3/atom

=====

No. 2
# Na2SbCl5, relaxed, DFT PBE
data_Na2SbCl5
_symmetry_space_group_name_H-M 'P 1'
_symmetry_Int_Tables_number 1
_cell_length_a 5.616
_cell_length_b 7.210
_cell_length_c 7.317
_cell_angle_alpha 90.00
_cell_angle_beta 112.51
_cell_angle_gamma 112.89
loop_
_symmetry_equiv_pos_as_xyz
'x,y,z'
loop_
_atom_site_label
_atom_site_type_symbol
_atom_site_fract_x
_atom_site_fract_y
_atom_site_fract_z
Na1 Na 0.000 0.000 0.000
Na2 Na 0.158 0.776 0.537
Sb1 Sb 0.577 0.388 0.768
Cl1 Cl 0.018 0.387 0.768
Cl2 Cl 0.288 0.154 0.412
Cl3 Cl 0.489 0.046 0.925
Cl4 Cl 0.674 0.730 0.611
Cl5 Cl 0.878 0.622 0.124
# ΔE to the lowest computed polymorph: 0.0 meV/atom
# V: 31.0 A^3/atom

=====

No. 3
# Na4Sb2Cl9, relaxed, DFT PBE
data_Na4Sb2Cl9
_symmetry_space_group_name_H-M 'P -1'
_symmetry_Int_Tables_number 2
_cell_length_a 7.298
_cell_length_b 7.305
_cell_length_c 17.741
_cell_angle_alpha 89.98
_cell_angle_beta 89.96
_cell_angle_gamma 60.07
loop_
_symmetry_equiv_pos_as_xyz
'x,y,z'
'-x,-y,-z'
loop_
_atom_site_label
_atom_site_type_symbol
_atom_site_fract_x
_atom_site_fract_y
_atom_site_fract_z
Na1 Na 0.165 0.167 0.196
Na2 Na 0.166 0.166 0.985
Na3 Na 0.167 0.166 0.484
Na4 Na 0.168 0.165 0.697
Sb1 Sb 0.499 0.502 0.134
Sb2 Sb 0.500 0.499 0.366
Cl1 Cl 0.136 0.525 0.411
Cl2 Cl 0.138 0.838 0.910
Cl3 Cl 0.160 0.479 0.090
Cl4 Cl 0.161 0.864 0.590
Cl5 Cl 0.216 0.501 0.750
Cl6 Cl 0.216 0.785 0.250
Cl7 Cl 0.475 0.163 0.589
Cl8 Cl 0.476 0.864 0.089
Cl9 Cl 0.497 0.217 0.250
# V: 27.3 A^3/atom

=====

No. 4
# NaSbCl6, relaxed, DFT PBE
data_NaSbCl6
_symmetry_space_group_name_H-M 'C 1 2/m 1'
_symmetry_Int_Tables_number 12
_cell_length_a 7.008
_cell_length_b 12.012
_cell_length_c 6.701
_cell_angle_alpha 90.00
_cell_angle_beta 110.24
_cell_angle_gamma 90.00
loop_
_symmetry_equiv_pos_as_xyz
'x,y,z'
'-x,-y,-z'
'-x,y,-z'
'x,-y,z'
'x+1/2,y+1/2,z'
'-x+1/2,-y+1/2,-z'
'-x+1/2,y+1/2,-z'
'x+1/2,-y+1/2,z'
loop_
_atom_site_label
_atom_site_type_symbol
_atom_site_fract_x
_atom_site_fract_y
_atom_site_fract_z
Na1 Na 0.000 0.000 0.000
Sb1 Sb 0.000 0.500 0.500
Cl1 Cl 0.207 0.357 0.730
Cl2 Cl 0.223 0.500 0.298
# ΔE to the lowest computed polymorph: 24.3 meV/atom
# V: 33.1 A^3/atom

=====

No. 5
# NaSbCl6, relaxed, DFT PBE
data_NaSbCl6
_symmetry_space_group_name_H-M 'P 42/m'
_symmetry_Int_Tables_number 84
_cell_length_a 6.684
_cell_length_b 6.684
_cell_length_c 10.800
_cell_angle_alpha 90.00
_cell_angle_beta 90.00
_cell_angle_gamma 90.00
loop_
_symmetry_equiv_pos_as_xyz
'x,y,z'
'-x,-y,-z'
'-y,x,z+1/2'
'y,-x,-z+1/2'
'-x,-y,z'
'x,y,-z'
'y,-x,z+1/2'
'-y,x,-z+1/2'
loop_
_atom_site_label
_atom_site_type_symbol
_atom_site_fract_x
_atom_site_fract_y
_atom_site_fract_z
Na1 Na 0.000 0.000 0.250
Sb1 Sb 0.000 0.500 0.000
Cl1 Cl 0.205 0.209 0.500
Cl2 Cl 0.208 0.351 0.158
# ΔE to the lowest computed polymorph: 0.0 meV/atom
# V: 30.2 A^3/atom

=====

No. 6
# NaSbCl3, relaxed, DFT PBE
data_NaSbCl3
_symmetry_space_group_name_H-M 'P m -3 m'
_symmetry_Int_Tables_number 221
_symmetry_space_group_name_Hall '-P 4 2 3'
_cell_length_a 5.508
_cell_length_b 5.508
_cell_length_c 5.508
_cell_angle_alpha 90.00
_cell_angle_beta 90.00
_cell_angle_gamma 90.00
loop_
_atom_site_label
_atom_site_type_symbol
_atom_site_fract_x
_atom_site_fract_y
_atom_site_fract_z
Na1 Na 0.000 0.000 0.000
Sb1 Sb 0.500 0.500 0.500
Cl1 Cl 0.000 0.500 0.500
# ΔE to the lowest computed polymorph: 273.2 meV/atom
# V: 33.4 A^3/atom

=====

No. 7
# NaSbCl3, relaxed, DFT PBE
data_NaSbCl3
_symmetry_space_group_name_H-M 'P m -3 m'
_symmetry_Int_Tables_number 221
_symmetry_space_group_name_Hall '-P 4 2 3'
_cell_length_a 5.012
_cell_length_b 5.012
_cell_length_c 5.012
_cell_angle_alpha 90.00
_cell_angle_beta 90.00
_cell_angle_gamma 90.00
loop_
_atom_site_label
_atom_site_type_symbol
_atom_site_fract_x
_atom_site_fract_y
_atom_site_fract_z
Na1 Na 0.000 0.000 0.000
Sb1 Sb 0.500 0.500 0.500
Cl1 Cl 0.000 0.000 0.500
# ΔE to the lowest computed polymorph: 638.4 meV/atom
# V: 25.2 A^3/atom

=====

No. 8
# Na4SbCl2, relaxed, DFT PBE
data_Na4SbCl2
_symmetry_space_group_name_H-M 'I 4/m m m'
_symmetry_Int_Tables_number 139
_symmetry_space_group_name_Hall '-I 4 2'
_cell_length_a 5.920
_cell_length_b 5.920
_cell_length_c 14.981
_cell_angle_alpha 90.00
_cell_angle_beta 90.00
_cell_angle_gamma 90.00
loop_
_atom_site_label
_atom_site_type_symbol
_atom_site_fract_x
_atom_site_fract_y
_atom_site_fract_z
Na1 Na 0.000 0.000 0.199
Na2 Na 0.000 0.500 0.000
Sb1 Sb 0.000 0.000 0.000
Cl1 Cl 0.000 0.000 0.370
# V: 37.5 A^3/atom

=====

No. 9
# Na3SbCl, relaxed, DFT PBE
data_Na3SbCl
_symmetry_space_group_name_H-M 'P m -3 m'
_symmetry_Int_Tables_number 221
_symmetry_space_group_name_Hall '-P 4 2 3'
_cell_length_a 5.896
_cell_length_b 5.896
_cell_length_c 5.896
_cell_angle_alpha 90.00
_cell_angle_beta 90.00
_cell_angle_gamma 90.00
loop_
_atom_site_label
_atom_site_type_symbol
_atom_site_fract_x
_atom_site_fract_y
_atom_site_fract_z
Na1 Na 0.000 0.000 0.500
Sb1 Sb 0.000 0.000 0.000
Cl1 Cl 0.500 0.500 0.500
# ΔE to the lowest computed polymorph: 299.0 meV/atom
# V: 41.0 A^3/atom

=====

No. 10
# NaSbCl2, relaxed, DFT PBE
data_NaSbCl2
_symmetry_space_group_name_H-M 'F m -3 m'
_symmetry_Int_Tables_number 225
_symmetry_space_group_name_Hall '-F 4 2 3'
_cell_length_a 7.320
_cell_length_b 7.320
_cell_length_c 7.320
_cell_angle_alpha 90.00
_cell_angle_beta 90.00
_cell_angle_gamma 90.00
loop_
_atom_site_label
_atom_site_type_symbol
_atom_site_fract_x
_atom_site_fract_y
_atom_site_fract_z
Na1 Na 0.000 0.000 0.000
Sb1 Sb 0.000 0.000 0.500
Cl1 Cl 0.250 0.250 0.250
# ΔE to the lowest computed polymorph: 538.8 meV/atom
# V: 24.5 A^3/atom

=====

No. 11
# NaSbCl2, relaxed, DFT PBE
data_NaSbCl2
_symmetry_space_group_name_H-M 'I -4 2 d'
_symmetry_Int_Tables_number 122
_symmetry_space_group_name_Hall 'I -4 2bw'
_cell_length_a 7.717
_cell_length_b 7.717
_cell_length_c 7.081
_cell_angle_alpha 90.00
_cell_angle_beta 90.00
_cell_angle_gamma 90.00
loop_
_atom_site_label
_atom_site_type_symbol
_atom_site_fract_x
_atom_site_fract_y
_atom_site_fract_z
Na1 Na 0.000 0.000 0.000
Sb1 Sb 0.000 0.000 0.500
Cl1 Cl 0.246 0.250 0.125
# ΔE to the lowest computed polymorph: 376.6 meV/atom
# V: 26.4 A^3/atom

=====

No. 12
# Na3SbCl, relaxed, DFT PBE
data_Na3SbCl
_symmetry_space_group_name_H-M 'P m -3 m'
_symmetry_Int_Tables_number 221
_symmetry_space_group_name_Hall '-P 4 2 3'
_cell_length_a 5.245
_cell_length_b 5.245
_cell_length_c 5.245
_cell_angle_alpha 90.00
_cell_angle_beta 90.00
_cell_angle_gamma 90.00
loop_
_atom_site_label
_atom_site_type_symbol
_atom_site_fract_x
_atom_site_fract_y
_atom_site_fract_z
Na1 Na 0.000 0.000 0.500
Sb1 Sb 0.500 0.500 0.500
Cl1 Cl 0.000 0.000 0.000
# ΔE to the lowest computed polymorph: 0.0 meV/atom
# V: 28.9 A^3/atom

=====

The records above yield E_form (uncorrected) values of -1.42; -1.32; -1.27; -0.95; -0.97; -0.84; -0.47; -0.81; -0.45; -0.48; -0.64; -0.75 eV per atom, respectively.